Entry from Alexandria via LeMat-Bulk: a relaxed structure of Li8Mg3In2 (PBE-GGA).

The energy above the lowest structure with this stoichiometry comes out at 0.0514 eV per atom. The total energy comes out at -2.02 eV/atom. The calculated volume is 22.015 Å³/atom. As for the density of states at the Fermi level: 0.457 states/eV per atom. As for the density: 2.1 g/cm³. Its total moment is 0.0 μB per formula unit. The value obtained for the formation energy from the elements is -70 kJ/mol of formula units.

The space group is C2/m (No. 12) and the conventional cell measures 12.086, 8.334 and 5.755 Å, with angles of 90.00, 99.10 and 90.00 degrees. The inequivalent atoms are Li at (0.078, 0.000, 0.344), Li at (0.126, 0.189, 0.959), Li at (0.223, 0.500, 0.301), Mg at (0.000, 0.318, 0.500), Mg at (0.000, 0.500, 0.000) and In at (0.199, 0.500, 0.778).